Entry 1:
VASP calculation (PBE) on crystalline Tb6Ga2Pb at its relaxed geometry.

Summary:
ΔE_f, eV/atom: -0.43
SG: Immm

a b c (Å): 8.713 8.713 8.713
angles (deg): 103.90 112.34 112.32
Element x y z (fractional)
Tb: 0.534 0.719 0.814
Tb: 0.466 0.281 0.186
Tb: 0.095 0.281 0.814
Tb: 0.905 0.719 0.186
Tb: 0.795 0.762 0.557
Tb: 0.205 0.238 0.443
Tb: 0.205 0.762 0.968
Tb: 0.795 0.238 0.032
Tb: 0.702 0.381 0.679
Tb: 0.298 0.619 0.321
Tb: 0.298 0.978 0.679
Tb: 0.702 0.022 0.321
Ga: 0.500 0.381 0.881
Ga: 0.500 0.619 0.119
Ga: 0.643 0.000 0.643
Ga: 0.357 0.000 0.357
Pb: 0.000 0.500 0.500
Pb: 0.000 0.000 0.000

Entry 2:
VASP calculation (PBE) on crystalline NdErTm5 at its relaxed geometry.

Summary:
ΔE_f, eV/atom: 0.20
SG: C2/c

a b c (Å): 6.675 6.675 13.666
angles (deg): 61.52 61.52 60.60
Element x y z (fractional)
Nd: 0.000 0.000 0.000
Nd: 0.000 0.000 0.500
Er: 0.721 0.279 0.750
Er: 0.279 0.721 0.250
Tm: 0.173 0.388 0.747
Tm: 0.647 0.699 0.501
Tm: 0.388 0.173 0.247
Tm: 0.167 0.833 0.750
Tm: 0.301 0.353 0.999
Tm: 0.699 0.647 0.001
Tm: 0.833 0.167 0.250
Tm: 0.612 0.827 0.753
Tm: 0.353 0.301 0.499
Tm: 0.827 0.612 0.253